## 1
GGA-PBE RbAg3Pt, optimized geometry; SG = Cmcm (63); V = 233.5 Å³ per cell
1.0
3.340 -6.541 0.000
3.340 6.541 0.000
0.000 0.000 5.343
Rb Ag Pt
2 6 2
Direct
0.086 0.914 0.750
0.914 0.086 0.250
0.130 0.454 0.750
0.312 0.688 0.250
0.454 0.130 0.250
0.546 0.870 0.750
0.688 0.312 0.750
0.870 0.546 0.250
0.500 0.500 0.000
0.500 0.500 0.500

---

## 2
GGA-PBE RbAg3Pt, optimized geometry; SG = Pm-3m (221); V = 158.9 Å³ per cell
1.0
5.417 0.000 0.000
0.000 5.417 0.000
0.000 0.000 5.417
Rb Ag Pt
1 3 1
Direct
0.000 0.000 0.000
0.000 0.000 0.500
0.000 0.500 0.000
0.500 0.000 0.000
0.500 0.500 0.500

---

## 3
GGA-PBE RbAg3Pt, optimized geometry; SG = Pm-3m (221); V = 146.0 Å³ per cell
1.0
5.266 0.000 0.000
0.000 5.266 0.000
0.000 0.000 5.266
Rb Ag Pt
1 3 1
Direct
0.000 0.000 0.000
0.000 0.500 0.500
0.500 0.000 0.500
0.500 0.500 0.000
0.500 0.500 0.500

---

Which structure loses on stability? 2 does.